No. 1
The following is a PBE-GGA calculation of Li2LaMg after structural relaxation, from Alexandria via LeMat-Bulk.

## Properties
Magnetic moment, Bohr magnetons per cell: 0.0
Uncorrected energy, eV per atom: -2.52
E_form, eV per atom: 0.068
V, Å³ per atom: 25.3
Density, Mg/m³: 2.90
Symmetry: Imm2, No. 44

```
Li2LaMg
1.0
-1.2780 3.9729 4.4958
-5.2743 -1.0330 2.9570
5.5659 -2.1306 -1.4527
Li La Mg
2 1 1
Direct
0.9657 0.9657 0.0000
0.7591 0.2591 0.5000
0.2448 0.7448 0.5000
0.5304 0.5304 0.0000
```

---

No. 2
The following is a PBE-GGA calculation of Cs2Y2Cd after structural relaxation, from Alexandria via LeMat-Bulk.

## Properties
Magnetic moment, Bohr magnetons per cell: 0.0
Uncorrected energy, eV per atom: -2.34
E_form, eV per atom: 0.770
V, Å³ per atom: 43.6
Density, Mg/m³: 4.24
Symmetry: I4/mmm, No. 139

```
Cs2Y2Cd
1.0
-1.5760 3.1152 3.0065
-4.2376 -0.4547 -1.7502
-4.8829 -6.1670 7.3605
Cd Y Cs
1 2 2
Direct
0.0000 0.0000 0.0000
0.4263 0.4263 0.1474
0.5737 0.5737 0.8526
0.2500 0.7500 0.5000
0.7500 0.2500 0.5000
```

---

No. 3
The following is a PBE-GGA calculation of TaRh3Br after structural relaxation, from Alexandria via LeMat-Bulk.

## Properties
Magnetic moment, Bohr magnetons per cell: 0.0
Uncorrected energy, eV per atom: -6.09
Formation energy from raw total energies, kcal/mol of atoms: 23.68
Offset from the most stable computed form, meV per atom: 0
V, Å³ per atom: 22.2
Density, Mg/m³: 8.54
Symmetry: Pm-3m, No. 221

```
TaRh3Br
1.0
-4.4632 -1.2566 -1.2536
-0.6596 -1.9753 4.3282
-1.6479 4.1940 1.6629
Ta Br Rh
1 1 3
Direct
0.0000 0.0000 0.0000
0.5000 0.5000 0.5000
0.5000 0.0000 0.0000
0.0000 0.0000 0.5000
0.0000 0.5000 0.0000
```

---

No. 4
The following is a PBE-GGA calculation of Al2IrPb after structural relaxation, from Alexandria via LeMat-Bulk.

## Properties
Magnetic moment, Bohr magnetons per cell: 0.0
Uncorrected energy, eV per atom: -5.16
E_form, eV per atom: -0.149
V, Å³ per atom: 19.9
Density, Mg/m³: 9.45
Symmetry: C2/m, No. 12

```
Al2IrPb
1.0
4.3872 0.0024 0.0049
3.2682 2.9269 0.0049
1.1277 0.4315 6.2092
Ir Al Pb
1 2 1
Direct
0.7500 0.7500 0.7500
0.4827 0.4827 0.5816
0.0173 0.0173 0.9184
0.2500 0.2500 0.2500
```